A geometry-optimized Na2LiP2S6 structure, computed with PBE.

## Properties
final energy = -4.224 eV per atom
symmetry = R-3m (166)
formation energy without anion corrections = -0.58 eV per atom

a b c (Å): 6.6072 6.6072 8.0878
angles (deg): 65.89 65.89 60.00
Sites, in units of the cell vectors:
S1 0.2333 0.7470 0.2728
S2 0.7470 0.2333 0.2728
S3 0.2530 0.2530 0.7272
S4 0.7667 0.2530 0.7272
S5 0.7470 0.7470 0.2728
S6 0.2530 0.7667 0.7272
P1 0.4470 0.4470 0.6591
P2 0.5530 0.5530 0.3409
Na1 0.2044 0.2044 0.3868
Na2 0.7956 0.7956 0.6132
Li1 0.0000 0.0000 0.0000